Material: ZrAsRh
Method: DFT, PBE
State: relaxed

Lattice parameters (Å, degrees): 6.6801 3.9524 11.4837 90.00 90.33 90.00
Last column: nearest neighbours and their distance in Å.
Fractional coordinates of all 18 atoms:
Zr 0.0302 0.2500 0.2088  5 As 2.77-2.84, 5 Rh 2.98-3.04
Zr 0.3393 0.7500 0.5787  5 As 2.78-2.84, 3 Rh 2.98-3.02
Zr 0.4684 0.7500 0.8790  5 As 2.79-2.82, 4 Rh 3.00-3.07
Zr 0.5316 0.2500 0.1210  5 As 2.79-2.82, 4 Rh 3.00-3.07
Zr 0.6607 0.2500 0.4213  5 As 2.78-2.84, 3 Rh 2.98-3.02
Zr 0.9698 0.7500 0.7912  5 As 2.77-2.84, 5 Rh 2.98-3.04
As 0.2442 0.2500 0.4159  5 Rh 2.57-2.59, 4 Zr 2.77-2.79
As 0.2438 0.7500 0.0831  4 Rh 2.52-2.64, 3 Zr 2.79
As 0.2640 0.2500 0.7502  3 Rh 2.49-2.52
As 0.7360 0.7500 0.2498  3 Rh 2.49-2.52
As 0.7562 0.2500 0.9169  4 Rh 2.52-2.64, 3 Zr 2.79
As 0.7558 0.7500 0.5841  5 Rh 2.57-2.59, 4 Zr 2.77-2.79
Rh 0.0071 0.2500 0.5914  4 As 2.50-2.59
Rh 0.1457 0.2500 0.9586  4 As 2.52-2.64
Rh 0.3708 0.7500 0.2937  4 As 2.49-2.57
Rh 0.6292 0.2500 0.7063  4 As 2.49-2.57
Rh 0.8543 0.7500 0.0414  4 As 2.52-2.64
Rh 0.9929 0.7500 0.4086  4 As 2.50-2.59

## Properties
- E: -142.29 eV per cell
- Space group: No. 11
- Calculated formation energy: -1.06 eV/atom